# 1
Hf3Zn5O12 | PBE | optimized geometry

a = 12.148 Å, b = 12.148 Å, c = 12.148 Å
α = 90.00°, β = 90.00°, γ = 90.00°
Space group Ia-3d (No. 230)
Unique sites:
Hf 0.000 0.250 0.125 (multiplicity 24)
Zn 0.000 0.000 0.000 (multiplicity 16)
Zn 0.000 0.250 0.375 (multiplicity 24)
O 0.019 0.069 0.655 (multiplicity 96)

Summary:
**N(E_F)**: 0.291 states/eV/atom
**Total DFT energy (no corrections)**: -6.864 eV/atom

---

# 2
Y3CuPt | PBE | optimized geometry

a = 5.413 Å, b = 5.413 Å, c = 5.413 Å
α = 90.00°, β = 90.00°, γ = 90.00°
Space group Pm-3m (No. 221)
Unique sites:
Y 0.000 0.000 0.500 (multiplicity 3)
Cu 0.500 0.500 0.500 (multiplicity 1)
Pt 0.000 0.000 0.000 (multiplicity 1)

Summary:
**Energy relative to the elements**: -0.1049 eV per atom
**N(E_F)**: 1.625 states/eV/atom

---

# 3
SrZr2In | PBE | optimized geometry

a = 3.294 Å, b = 5.461 Å, c = 6.103 Å
α = 90.00°, β = 97.28°, γ = 90.00°
Space group P2/m (No. 10)
Unique sites:
Sr 0.000 0.000 0.000 (multiplicity 1)
Zr 0.303 0.500 0.711 (multiplicity 2)
In 0.500 0.000 0.500 (multiplicity 1)

Summary:
**Energy relative to the elements**: 0.1792 eV per atom
**N(E_F)**: 0.945 states/eV/atom

---

# 4
Pr2Tm2Hg | PBE | optimized geometry

a = 7.439 Å, b = 10.368 Å, c = 9.018 Å
α = 90.00°, β = 114.35°, γ = 90.00°
Space group C2/m (No. 12)
Unique sites:
Pr 0.206 0.000 0.412 (multiplicity 4)
Pr 0.210 0.000 0.000 (multiplicity 4)
Tm 0.103 0.294 0.206 (multiplicity 8)
Hg 0.000 0.250 0.500 (multiplicity 4)

Summary:
**Energy relative to the elements**: -0.1376 eV per atom
**N(E_F)**: 0.900 states/eV/atom

---

# 5
La2TeH2Br | PBE | optimized geometry

a = 4.1669 Å, b = 4.1669 Å, c = 8.9225 Å
α = 90.00°, β = 90.00°, γ = 120.00°
Space group P-3m1 (No. 164)
Unique sites:
La 0.3333 0.6667 0.2385 (multiplicity 2)
Te 0.0000 0.0000 0.0000 (multiplicity 1)
H 0.3333 0.6667 0.7362 (multiplicity 2)
Br 0.0000 0.0000 0.5000 (multiplicity 1)

Summary:
**N(E_F)**: 0.525 states/eV/atom
**Total DFT energy (no corrections)**: -4.747 eV/atom

---

# 6
Fe2Ni3Ir5 | PBE | optimized geometry

a = 8.359 Å, b = 3.685 Å, c = 8.457 Å
α = 90.00°, β = 91.05°, γ = 90.00°
Space group C2/m (No. 12)
Unique sites:
Fe 0.196 0.000 0.398 (multiplicity 4)
Ni 0.000 0.000 0.000 (multiplicity 2)
Ni 0.105 0.000 0.693 (multiplicity 4)
Ir 0.000 0.500 0.500 (multiplicity 2)
Ir 0.097 0.500 0.204 (multiplicity 4)
Ir 0.201 0.500 0.895 (multiplicity 4)

Summary:
**Energy relative to the elements**: -0.0382 eV per atom
**N(E_F)**: 1.106 states/eV/atom

---

# 7
As2Os2I | PBE | optimized geometry

a = 8.461 Å, b = 8.461 Å, c = 2.911 Å
α = 90.00°, β = 90.00°, γ = 90.00°
Space group P4/mbm (No. 127)
Unique sites:
As 0.131 0.369 0.000 (multiplicity 4)
Os 0.115 0.615 0.500 (multiplicity 4)
I 0.000 0.000 0.000 (multiplicity 2)

Summary:
**N(E_F)**: 0.535 states/eV/atom
**Total DFT energy (no corrections)**: -5.790 eV/atom

---

# 8
Ba2IrW | PBE | optimized geometry

a = 7.803 Å, b = 7.803 Å, c = 7.803 Å
α = 90.00°, β = 90.00°, γ = 90.00°
Space group Fm-3m (No. 225)
Unique sites:
Ba 0.250 0.250 0.250 (multiplicity 8)
Ir 0.000 0.000 0.000 (multiplicity 4)
W 0.000 0.000 0.500 (multiplicity 4)

Summary:
**Energy relative to the elements**: 1.3079 eV per atom
**N(E_F)**: 0.984 states/eV/atom

---

# 9
CaTePt3 | PBE | optimized geometry

a = 4.972 Å, b = 4.972 Å, c = 4.972 Å
α = 90.00°, β = 90.00°, γ = 90.00°
Space group Pm-3m (No. 221)
Unique sites:
Ca 0.000 0.000 0.000 (multiplicity 1)
Te 0.500 0.500 0.500 (multiplicity 1)
Pt 0.000 0.000 0.500 (multiplicity 3)

Summary:
**N(E_F)**: 0.701 states/eV/atom
**Total DFT energy (no corrections)**: -3.593 eV/atom

---

# 10
Ac2Si3 | PBE | optimized geometry

a = 4.727 Å, b = 25.886 Å, c = 4.146 Å
α = 90.00°, β = 90.00°, γ = 90.00°
Space group Cmcm (No. 63)
Unique sites:
Ac 0.000 0.068 0.250 (multiplicity 4)
Ac 0.000 0.201 0.750 (multiplicity 4)
Si 0.000 0.331 0.750 (multiplicity 4)
Si 0.000 0.383 0.250 (multiplicity 4)
Si 0.000 0.477 0.250 (multiplicity 4)

Summary:
**N(E_F)**: 0.719 states/eV/atom
**Total DFT energy (no corrections)**: -5.460 eV/atom

---

# 11
Cs12H5I3 | PBE | optimized geometry

a = 20.692 Å, b = 20.692 Å, c = 20.692 Å
α = 90.00°, β = 90.00°, γ = 90.00°
Space group Ia-3d (No. 230)
Unique sites:
Cs 0.035 0.048 0.652 (multiplicity 96)
H 0.000 0.000 0.000 (multiplicity 16)
H 0.000 0.250 0.375 (multiplicity 24)
I 0.000 0.250 0.125 (multiplicity 24)

Summary:
**N(E_F)**: 0.609 states/eV/atom
**Total DFT energy (no corrections)**: -2.011 eV/atom

---

# 12
Dy5Er3Mg | PBE | optimized geometry

a = 14.868 Å, b = 11.424 Å, c = 9.617 Å
α = 90.00°, β = 128.95°, γ = 90.00°
Space group C2/m (No. 12)
Unique sites:
Dy 0.000 0.242 0.000 (multiplicity 4)
Dy 0.153 0.246 0.749 (multiplicity 8)
Dy 0.219 0.500 0.030 (multiplicity 4)
Dy 0.228 0.000 0.252 (multiplicity 4)
Er 0.000 0.000 0.500 (multiplicity 2)
Er 0.000 0.500 0.000 (multiplicity 2)
Er 0.016 0.000 0.831 (multiplicity 4)
Er 0.018 0.500 0.356 (multiplicity 4)
Mg 0.248 0.000 0.608 (multiplicity 4)

Summary:
**Energy relative to the elements**: 0.5063 eV per atom
**N(E_F)**: 1.309 states/eV/atom

---

# 13
Ac2NpWN5 | PBE | optimized geometry

a = 3.629 Å, b = 14.142 Å, c = 11.106 Å
α = 90.00°, β = 90.00°, γ = 90.00°
Space group Cmc2_1 (No. 36)
Unique sites:
Ac 0.000 0.106 0.000 (multiplicity 4)
Ac 0.000 0.147 0.626 (multiplicity 4)
Np 0.000 0.206 0.332 (multiplicity 4)
W 0.000 0.475 0.775 (multiplicity 4)
N 0.000 0.040 0.348 (multiplicity 4)
N 0.000 0.283 0.961 (multiplicity 4)
N 0.000 0.324 0.714 (multiplicity 4)
N 0.000 0.370 0.321 (multiplicity 4)
N 0.000 0.490 0.114 (multiplicity 4)

Summary:
**N(E_F)**: 0.807 states/eV/atom
**Total DFT energy (no corrections)**: -9.415 eV/atom

---

# 14
ZrTlTe2H | PBE | optimized geometry

a = 5.717 Å, b = 5.717 Å, c = 4.129 Å
α = 90.00°, β = 90.00°, γ = 90.00°
Space group P4/mmm (No. 123)
Unique sites:
Zr 0.000 0.000 0.000 (multiplicity 1)
Tl 0.500 0.500 0.500 (multiplicity 1)
Te 0.000 0.500 0.000 (multiplicity 2)
H 0.000 0.000 0.500 (multiplicity 1)

Summary:
**N(E_F)**: 0.417 states/eV/atom
**Total DFT energy (no corrections)**: -4.478 eV/atom

---

# 15
NdGdRe4 | PBE | optimized geometry

a = 7.749 Å, b = 7.749 Å, c = 7.749 Å
α = 90.00°, β = 90.00°, γ = 90.00°
Space group F-43m (No. 216)
Unique sites:
Nd 0.000 0.000 0.000 (multiplicity 4)
Gd 0.250 0.250 0.250 (multiplicity 4)
Re 0.125 0.125 0.625 (multiplicity 16)

Summary:
**Energy relative to the elements**: -0.0200 eV per atom
**N(E_F)**: 1.309 states/eV/atom

---

# 16
Tl2CdGe2 | PBE | optimized geometry

a = 7.208 Å, b = 7.208 Å, c = 4.977 Å
α = 90.00°, β = 90.00°, γ = 90.00°
Space group P4/mbm (No. 127)
Unique sites:
Tl 0.177 0.323 0.000 (multiplicity 4)
Cd 0.000 0.000 0.500 (multiplicity 2)
Ge 0.126 0.626 0.500 (multiplicity 4)

Summary:
**Energy relative to the elements**: 0.1629 eV per atom
**N(E_F)**: 0.406 states/eV/atom

---

# 17
In3CSe | PBE | optimized geometry

a = 4.835 Å, b = 4.835 Å, c = 4.835 Å
α = 90.00°, β = 90.00°, γ = 90.00°
Space group Pm-3m (No. 221)
Unique sites:
In 0.000 0.000 0.500 (multiplicity 3)
C 0.000 0.000 0.000 (multiplicity 1)
Se 0.500 0.500 0.500 (multiplicity 1)

Summary:
**N(E_F)**: 0.609 states/eV/atom
**Total DFT energy (no corrections)**: -3.617 eV/atom